# Tb3GdF

Tb3GdF after structural relaxation (PBE, Alexandria via LeMat-Bulk).

Lattice parameters (Å, degrees): 5.0596 5.0596 5.0596 90.00 90.00 90.00
Each line ends with the local moment (μB).
Fractional positions:
Gd (0.5000, 0.5000, 0.5000)  7.17
Tb (0.0000, 0.5000, 0.0000)  0.01
Tb (0.0000, 0.0000, 0.5000)  0.01
Tb (0.5000, 0.0000, 0.0000)  0.01
F (0.0000, 0.0000, 0.0000)  -0.01

## Properties
electronic total energy	-6.903	eV/atom
Fermi-level density of states	5.1	states/eV/cell
raw formation energy	-0.934	eV per atom